(1)
Compound: Nd3Tm2Hg2
Source: Alexandria via LeMat-Bulk
Functional: PBE
Structure: optimized geometry

Cell and atoms, written as POSCAR:
```
Nd3Tm2Hg2
1.0
2.5104 -11.4907 0.0000
2.5104 11.4907 0.0000
0.0000 0.0000 3.5503
Nd Tm Hg
3 2 2
direct
0.0000 0.0000 0.0000 Nd
0.1466 0.8534 0.0000 Nd
0.8534 0.1466 0.0000 Nd
0.2905 0.7095 0.5000 Tm
0.7095 0.2905 0.5000 Tm
0.4284 0.5716 0.5000 Hg
0.5716 0.4284 0.5000 Hg
```

Results
Calculated density, Mg/m³: 9.500
Excess energy over the best structure of this formula in the dataset, meV per atom: 104.7
DFT formation energy, meV/atom: -121

(2)
Compound: Nd4TmHg
Source: Alexandria via LeMat-Bulk
Functional: PBE
Structure: optimized geometry

Cell and atoms, written as POSCAR:
```
Nd4TmHg
1.0
3.6941 0.0000 0.0000
0.0000 3.6941 0.0000
0.0000 0.0000 14.1115
Nd Tm Hg
4 1 1
direct
0.0000 0.0000 0.1453 Nd
0.0000 0.0000 0.8547 Nd
0.5000 0.5000 0.3262 Nd
0.5000 0.5000 0.6738 Nd
0.0000 0.0000 0.5000 Tm
0.5000 0.5000 0.0000 Hg
```

Results
Calculated density, Mg/m³: 8.162
Excess energy over the best structure of this formula in the dataset, meV per atom: 0.0
DFT formation energy, meV/atom: -144

(3)
Compound: Nd4TmHg3
Source: Alexandria via LeMat-Bulk
Functional: PBE
Structure: optimized geometry

Cell and atoms, written as POSCAR:
```
Nd4TmHg3
1.0
11.1176 0.0000 0.0000
0.0000 7.1702 0.0000
0.0000 0.0000 5.7474
Nd Tm Hg
8 2 6
direct
0.0000 0.2446 0.0000 Nd
0.0000 0.7554 0.0000 Nd
0.2500 0.2406 0.4041 Nd
0.2500 0.7594 0.4041 Nd
0.5000 0.2446 0.0000 Nd
0.5000 0.7554 0.0000 Nd
0.7500 0.2406 0.5959 Nd
0.7500 0.7594 0.5959 Nd
0.0000 0.5000 0.5000 Tm
0.5000 0.5000 0.5000 Tm
0.0000 0.0000 0.5000 Hg
0.2500 0.0000 0.8968 Hg
0.2500 0.5000 0.8778 Hg
0.5000 0.0000 0.5000 Hg
0.7500 0.0000 0.1032 Hg
0.7500 0.5000 0.1222 Hg
```

Results
Calculated density, Mg/m³: 9.769
DFT formation energy, meV/atom: -284

(4)
Compound: Nd2TmHg8
Source: Alexandria via LeMat-Bulk
Functional: PBE
Structure: optimized geometry

Cell and atoms, written as POSCAR:
```
Nd2TmHg8
1.0
8.0156 -2.5344 0.0000
8.0156 2.5344 0.0000
-2.4722 0.0000 6.8266
Nd Tm Hg
2 1 8
direct
0.2105 0.2105 0.1579 Nd
0.7895 0.7895 0.8421 Nd
0.5000 0.5000 0.5000 Tm
0.0186 0.0186 0.2299 Hg
0.1517 0.1517 0.6622 Hg
0.3358 0.3358 0.6099 Hg
0.4059 0.4059 0.0564 Hg
0.5941 0.5941 0.9436 Hg
0.6642 0.6642 0.3901 Hg
0.8483 0.8483 0.3378 Hg
0.9814 0.9814 0.7701 Hg
```

Results
Calculated density, Mg/m³: 12.346
DFT formation energy, meV/atom: -333

(5)
Compound: Nd3Tm2Hg6
Source: Alexandria via LeMat-Bulk
Functional: PBE
Structure: optimized geometry

Cell and atoms, written as POSCAR:
```
Nd3Tm2Hg6
1.0
-2.2301 2.2301 16.4080
2.2301 -2.2301 16.4080
2.2301 2.2301 -16.4080
Nd Tm Hg
3 2 6
direct
0.0000 0.0000 0.0000 Nd
0.1811 0.1811 0.0000 Nd
0.8189 0.8189 0.0000 Nd
0.3703 0.3703 0.0000 Tm
0.6297 0.6297 0.0000 Tm
0.0696 0.5696 0.5000 Hg
0.2793 0.2793 0.0000 Hg
0.4304 0.9304 0.5000 Hg
0.5696 0.0696 0.5000 Hg
0.7207 0.7207 0.0000 Hg
0.9304 0.4304 0.5000 Hg
```

Results
Calculated density, Mg/m³: 10.043
DFT formation energy, meV/atom: -185

(6)
Compound: Nd2TmHg2
Source: Alexandria via LeMat-Bulk
Functional: PBE
Structure: optimized geometry

Cell and atoms, written as POSCAR:
```
Nd2TmHg2
1.0
3.7657 0.0000 0.0000
0.0000 5.3217 0.0000
-1.8749 0.0000 14.1178
Nd Tm Hg
4 2 4
direct
0.0458 0.2500 0.0891 Nd
0.2330 0.2500 0.4678 Nd
0.7670 0.7500 0.5322 Nd
0.9542 0.7500 0.9109 Nd
0.1478 0.7500 0.2940 Tm
0.8522 0.2500 0.7060 Tm
0.3592 0.7500 0.7188 Hg
0.4419 0.2500 0.8853 Hg
0.5581 0.7500 0.1147 Hg
0.6408 0.2500 0.2812 Hg
```

Results
Calculated density, Mg/m³: 10.079
Excess energy over the best structure of this formula in the dataset, meV per atom: 0.0
DFT formation energy, meV/atom: -361

(7)
Compound: NdTmHg4
Source: Alexandria via LeMat-Bulk
Functional: PBE
Structure: optimized geometry

Cell and atoms, written as POSCAR:
```
NdTmHg4
1.0
4.5258 0.0000 0.0000
0.0000 4.5395 0.0000
0.0000 0.0000 8.6217
Nd Tm Hg
1 1 4
direct
0.0000 0.0000 0.0000 Nd
0.5000 0.5000 0.5000 Tm
0.0000 0.5000 0.2621 Hg
0.0000 0.5000 0.7379 Hg
0.5000 0.0000 0.2630 Hg
0.5000 0.0000 0.7370 Hg
```

Results
Calculated density, Mg/m³: 10.458
Excess energy over the best structure of this formula in the dataset, meV per atom: 169.5
DFT formation energy, meV/atom: -171

(8)
Compound: Nd2TmHg
Source: Alexandria via LeMat-Bulk
Functional: PBE
Structure: optimized geometry

Cell and atoms, written as POSCAR:
```
Nd2TmHg
1.0
5.2052 0.0000 0.0000
0.0000 5.2052 0.0000
0.0000 0.0000 8.9315
Nd Tm Hg
4 2 2
direct
0.2500 0.2500 0.2207 Nd
0.2500 0.7500 0.5000 Nd
0.7500 0.2500 0.5000 Nd
0.7500 0.7500 0.7793 Nd
0.2500 0.2500 0.7845 Tm
0.7500 0.7500 0.2155 Tm
0.2500 0.7500 0.0000 Hg
0.7500 0.2500 0.0000 Hg
```

Results
Calculated density, Mg/m³: 9.031
Excess energy over the best structure of this formula in the dataset, meV per atom: 0.0
DFT formation energy, meV/atom: -227

(9)
Compound: Nd2TmHg
Source: Alexandria via LeMat-Bulk
Functional: PBE
Structure: optimized geometry

Cell and atoms, written as POSCAR:
```
Nd2TmHg
1.0
0.0000 3.8979 3.8979
3.8979 0.0000 3.8979
3.8979 3.8979 0.0000
Nd Tm Hg
2 1 1
direct
0.2500 0.2500 0.2500 Nd
0.7500 0.7500 0.7500 Nd
0.0000 0.0000 0.0000 Tm
0.5000 0.5000 0.5000 Hg
```

Results
Calculated density, Mg/m³: 9.225
Excess energy over the best structure of this formula in the dataset, meV per atom: 142.4
DFT formation energy, meV/atom: -85

(10)
Compound: NdTm4Hg4
Source: Alexandria via LeMat-Bulk
Functional: PBE
Structure: optimized geometry

Cell and atoms, written as POSCAR:
```
NdTm4Hg4
1.0
9.5650 0.0000 0.0000
0.0000 9.5650 0.0000
0.0000 0.0000 5.4348
Nd Tm Hg
2 8 8
direct
0.2500 0.2500 0.2500 Nd
0.7500 0.7500 0.7500 Nd
0.1035 0.8406 0.6663 Tm
0.1594 0.6035 0.1663 Tm
0.3406 0.8965 0.1663 Tm
0.3965 0.6594 0.6663 Tm
0.6035 0.3406 0.3337 Tm
0.6594 0.1035 0.8337 Tm
0.8406 0.3965 0.8337 Tm
0.8965 0.1594 0.3337 Tm
0.0400 0.1440 0.8341 Hg
0.1440 0.4600 0.6659 Hg
0.3560 0.0400 0.6659 Hg
0.4600 0.3560 0.8341 Hg
0.5400 0.6440 0.1659 Hg
0.6440 0.9600 0.3341 Hg
0.8560 0.5400 0.3341 Hg
0.9600 0.8560 0.1659 Hg
```

Results
Calculated density, Mg/m³: 10.836
DFT formation energy, meV/atom: -246